(one)
The following is a PBE-GGA calculation of a geometry-optimized Be2TlAu structure, from the Alexandria database.

It has space group Cm (No. 8), with a = 7.045 Å, b = 4.083 Å, c = 5.312 Å, α = 90.00°, β = 90.06° and γ = 90.00°. The distinct sites, in fractional coordinates, are Be at (0.000, 0.000, 0.000), Be at (0.169, 0.500, 0.002), Tl at (0.037, 0.000, 0.501) and Au at (0.336, 0.000, 0.002).

The density of states at the Fermi level is 0.345 states/eV per atom. For the volume, the calculation gives 19.10 Å³ per atom.

---

(two)
The following is a PBE-GGA calculation of a geometry-optimized Be2TlAu structure, from the Alexandria database.

It has space group Pmmm (No. 47), with a = 2.986 Å, b = 3.974 Å, c = 5.727 Å, α = 90.00°, β = 90.00° and γ = 90.00°. The distinct sites, in fractional coordinates, are Be at (0.000, 0.000, 0.000), Be at (0.500, 0.000, 0.500), Tl at (0.000, 0.500, 0.500) and Au at (0.500, 0.500, 0.000).

The density of states at the Fermi level is 0.365 states/eV per atom. For the volume, the calculation gives 16.99 Å³ per atom.

---

(three)
The following is a PBE-GGA calculation of a geometry-optimized Be2TlAu structure, from the Alexandria database.

It has space group Fm-3m (No. 225), with a = 6.239 Å, b = 6.239 Å, c = 6.239 Å, α = 90.00°, β = 90.00° and γ = 90.00°. The distinct sites, in fractional coordinates, are Be at (0.250, 0.250, 0.250), Tl at (0.000, 0.000, 0.000) and Au at (0.000, 0.000, 0.500).

The density of states at the Fermi level is 0.265 states/eV per atom. For the volume, the calculation gives 15.18 Å³ per atom.

---

According to the calculations, the structures order from most to least stable as (one), (three), (two).

---

(one)
The following is a PBE-GGA calculation of a geometry-optimized Be2TlAu2 structure, from the Alexandria database.

It has space group P4/mbm (No. 127), with a = 7.239 Å, b = 7.239 Å, c = 3.049 Å, α = 90.00°, β = 90.00° and γ = 90.00°. The distinct sites, in fractional coordinates, are Be at (0.129, 0.371, 0.000), Tl at (0.000, 0.000, 0.000) and Au at (0.148, 0.648, 0.500).

The density of states at the Fermi level is 0.245 states/eV per atom. For the volume, the calculation gives 15.97 Å³ per atom.

---

(two)
The following is a PBE-GGA calculation of a geometry-optimized Be2TlAu2 structure, from the Alexandria database.

It has space group I4/mmm (No. 139), with a = 3.583 Å, b = 3.583 Å, c = 13.284 Å, α = 90.00°, β = 90.00° and γ = 90.00°. The distinct sites, in fractional coordinates, are Be at (0.000, 0.500, 0.250), Tl at (0.000, 0.000, 0.000) and Au at (0.000, 0.000, 0.365).

The density of states at the Fermi level is 0.370 states/eV per atom. For the volume, the calculation gives 17.05 Å³ per atom.

---

(three)
The following is a PBE-GGA calculation of a geometry-optimized Be2TlAu2 structure, from the Alexandria database.

It has space group P4/mbm (No. 127), with a = 7.596 Å, b = 7.596 Å, c = 2.844 Å, α = 90.00°, β = 90.00° and γ = 90.00°. The distinct sites, in fractional coordinates, are Be at (0.136, 0.364, 0.000), Tl at (0.000, 0.000, 0.500) and Au at (0.145, 0.645, 0.500).

The density of states at the Fermi level is 0.248 states/eV per atom. For the volume, the calculation gives 16.41 Å³ per atom.

---

According to the calculations, the structures order from most to least stable as (two), (one), (three).

---

(one)
The following is a PBE-GGA calculation of a geometry-optimized BeTlAu4 structure, from the Alexandria database.

It has space group F-43m (No. 216), with a = 7.885 Å, b = 7.885 Å, c = 7.885 Å, α = 90.00°, β = 90.00° and γ = 90.00°. The distinct sites, in fractional coordinates, are Be at (0.000, 0.000, 0.000), Tl at (0.250, 0.250, 0.750) and Au at (0.125, 0.125, 0.375).

The density of states at the Fermi level is 0.385 states/eV per atom. For the volume, the calculation gives 20.42 Å³ per atom.

---

(two)
The following is a PBE-GGA calculation of a geometry-optimized BeTlAu4 structure, from the Alexandria database.

It has space group C2/m (No. 12), with a = 13.347 Å, b = 5.993 Å, c = 5.952 Å, α = 90.00°, β = 105.13° and γ = 90.00°. The distinct sites, in fractional coordinates, are Be at (0.017, 0.000, 0.323), Tl at (0.200, 0.500, 0.144), Au at (0.000, 0.246, 0.000), Au at (0.109, 0.265, 0.613) and Au at (0.196, 0.000, 0.272).

The density of states at the Fermi level is 0.207 states/eV per atom. For the volume, the calculation gives 19.15 Å³ per atom.

---

According to the calculations, the structures order from most to least stable as (two), (one).

---

(one)
The following is a PBE-GGA calculation of a geometry-optimized Tm2BeAu structure, from the Alexandria database.

It has space group Fm-3m (No. 225), with a = 6.960 Å, b = 6.960 Å, c = 6.960 Å, α = 90.00°, β = 90.00° and γ = 90.00°. The distinct sites, in fractional coordinates, are Tm at (0.250, 0.250, 0.250), Be at (0.000, 0.000, 0.000) and Au at (0.000, 0.000, 0.500).

The density of states at the Fermi level is 1.063 states/eV per atom. For the volume, the calculation gives 21.07 Å³ per atom.

---

(two)
The following is a PBE-GGA calculation of a geometry-optimized Tm2BeAu structure, from the Alexandria database.

It has space group P4/mmm (No. 123), with a = 3.489 Å, b = 3.489 Å, c = 6.787 Å, α = 90.00°, β = 90.00° and γ = 90.00°. The distinct sites, in fractional coordinates, are Tm at (0.000, 0.000, 0.238), Be at (0.500, 0.500, 0.000) and Au at (0.500, 0.500, 0.500).

The density of states at the Fermi level is 0.728 states/eV per atom. For the volume, the calculation gives 20.66 Å³ per atom.

---

According to the calculations, the structures order from most to least stable as (two), (one).

---

(one)
The following is a PBE-GGA calculation of a geometry-optimized BeV3Au structure, from the Alexandria database.

It has space group Pm-3m (No. 221), with a = 4.876 Å, b = 4.876 Å, c = 4.876 Å, α = 90.00°, β = 90.00° and γ = 90.00°. The distinct sites, in fractional coordinates, are Be at (0.000, 0.000, 0.000), V at (0.000, 0.500, 0.500) and Au at (0.500, 0.500, 0.500).

The density of states at the Fermi level is 2.741 states/eV per atom. For the volume, the calculation gives 23.19 Å³ per atom.

---

(two)
The following is a PBE-GGA calculation of a geometry-optimized BeV3Au structure, from the Alexandria database.

It has space group Pm-3m (No. 221), with a = 4.128 Å, b = 4.128 Å, c = 4.128 Å, α = 90.00°, β = 90.00° and γ = 90.00°. The distinct sites, in fractional coordinates, are Be at (0.000, 0.000, 0.000), V at (0.000, 0.000, 0.500) and Au at (0.500, 0.500, 0.500).

The density of states at the Fermi level is 0.869 states/eV per atom. For the volume, the calculation gives 14.07 Å³ per atom.

---

According to the calculations, the structures order from most to least stable as (two), (one).

---

(one)
The following is a PBE-GGA calculation of a geometry-optimized Be2VAu structure, from the Alexandria database.

It has space group I-42d (No. 122), with a = 6.321 Å, b = 6.321 Å, c = 5.231 Å, α = 90.00°, β = 90.00° and γ = 90.00°. The distinct sites, in fractional coordinates, are Be at (0.240, 0.250, 0.125), V at (0.000, 0.000, 0.500) and Au at (0.000, 0.000, 0.000).

The density of states at the Fermi level is 0.630 states/eV per atom. For the volume, the calculation gives 13.06 Å³ per atom.

---

(two)
The following is a PBE-GGA calculation of a geometry-optimized Be2VAu structure, from the Alexandria database.

It has space group P4/mmm (No. 123), with a = 2.784 Å, b = 2.784 Å, c = 6.181 Å, α = 90.00°, β = 90.00° and γ = 90.00°. The distinct sites, in fractional coordinates, are Be at (0.000, 0.000, 0.247), V at (0.500, 0.500, 0.000) and Au at (0.500, 0.500, 0.500).

The density of states at the Fermi level is 0.293 states/eV per atom. For the volume, the calculation gives 11.98 Å³ per atom.

---

According to the calculations, the structures order from most to least stable as (two), (one).

---

(one)
The following is a PBE-GGA calculation of a geometry-optimized Be2VAu2 structure, from the Alexandria database.

It has space group I4/mmm (No. 139), with a = 3.938 Å, b = 3.938 Å, c = 9.438 Å, α = 90.00°, β = 90.00° and γ = 90.00°. The distinct sites, in fractional coordinates, are Be at (0.000, 0.000, 0.110), V at (0.000, 0.000, 0.500) and Au at (0.000, 0.500, 0.250).

The density of states at the Fermi level is 0.749 states/eV per atom. For the volume, the calculation gives 14.64 Å³ per atom.

---

(two)
The following is a PBE-GGA calculation of a geometry-optimized Be2VAu2 structure, from the Alexandria database.

It has space group P4/mbm (No. 127), with a = 6.827 Å, b = 6.827 Å, c = 2.877 Å, α = 90.00°, β = 90.00° and γ = 90.00°. The distinct sites, in fractional coordinates, are Be at (0.124, 0.376, 0.000), V at (0.000, 0.000, 0.000) and Au at (0.173, 0.673, 0.500).

The density of states at the Fermi level is 0.570 states/eV per atom. For the volume, the calculation gives 13.41 Å³ per atom.

---

(three)
The following is a PBE-GGA calculation of a geometry-optimized Be2VAu2 structure, from the Alexandria database.

It has space group P4/mbm (No. 127), with a = 7.148 Å, b = 7.148 Å, c = 2.690 Å, α = 90.00°, β = 90.00° and γ = 90.00°. The distinct sites, in fractional coordinates, are Be at (0.161, 0.339, 0.000), V at (0.000, 0.000, 0.500) and Au at (0.141, 0.641, 0.500).

The density of states at the Fermi level is 0.812 states/eV per atom. For the volume, the calculation gives 13.75 Å³ per atom.

---

According to the calculations, the structures order from most to least stable as (two), (three), (one).

---

(one)
The following is a PBE-GGA calculation of a geometry-optimized Y2BeAu2 structure, from the Alexandria database.

It has space group I4/mmm (No. 139), with a = 3.784 Å, b = 3.784 Å, c = 16.409 Å, α = 90.00°, β = 90.00° and γ = 90.00°. The distinct sites, in fractional coordinates, are Y at (0.000, 0.000, 0.101), Be at (0.000, 0.000, 0.500) and Au at (0.000, 0.500, 0.250).

The density of states at the Fermi level is 0.541 states/eV per atom. For the volume, the calculation gives 23.50 Å³ per atom.

---

(two)
The following is a PBE-GGA calculation of a geometry-optimized Y2BeAu2 structure, from the Alexandria database.

It has space group P4/mbm (No. 127), with a = 7.485 Å, b = 7.485 Å, c = 3.975 Å, α = 90.00°, β = 90.00° and γ = 90.00°. The distinct sites, in fractional coordinates, are Y at (0.171, 0.329, 0.000), Be at (0.000, 0.000, 0.500) and Au at (0.136, 0.636, 0.500).

The density of states at the Fermi level is 0.932 states/eV per atom. For the volume, the calculation gives 22.27 Å³ per atom.

---

(three)
The following is a PBE-GGA calculation of a geometry-optimized Y2BeAu2 structure, from the Alexandria database.

It has space group P4/mbm (No. 127), with a = 7.995 Å, b = 7.995 Å, c = 3.717 Å, α = 90.00°, β = 90.00° and γ = 90.00°. The distinct sites, in fractional coordinates, are Y at (0.166, 0.334, 0.000), Be at (0.000, 0.000, 0.000) and Au at (0.131, 0.631, 0.500).

The density of states at the Fermi level is 0.531 states/eV per atom. For the volume, the calculation gives 23.76 Å³ per atom.

---

According to the calculations, the structures order from most to least stable as (two), (three), (one).